PmGdFeCu: optimized geometry, PBE.

a = 4.922 Å, b = 4.922 Å, c = 4.922 Å
α = 60.00°, β = 60.00°, γ = 60.00°
Sites, in units of the cell vectors:
Pm 0.000 0.000 0.000
Gd 0.500 0.500 0.500
Fe 0.750 0.750 0.750
Cu 0.250 0.250 0.250

Results
* V: 84.3 Å³/f.u.
* E: -0.2872 Ha/atom
* formation energy: 3.1 kJ/mol of atoms


Ti6InSn2: optimized geometry, PBE.

a = 4.784 Å, b = 7.753 Å, c = 7.753 Å
α = 41.59°, β = 72.03°, γ = 72.03°
Sites, in units of the cell vectors:
Ti 0.000 0.244 0.756
Ti 0.000 0.756 0.244
Ti 0.189 0.062 0.560
Ti 0.189 0.560 0.062
Ti 0.811 0.440 0.938
Ti 0.811 0.938 0.440
Sn 0.619 0.881 0.881
Sn 0.381 0.119 0.119
In 0.500 0.500 0.500

Results
* V: 180.2 Å³/f.u.
* E: -0.2297 Ha/atom
* formation energy: 19.9 kJ/mol of atoms
* ΔE to the lowest computed polymorph: 326 meV/atom


SrFeOs: optimized geometry, PBE.

a = 5.965 Å, b = 4.055 Å, c = 11.661 Å
α = 90.00°, β = 90.00°, γ = 90.00°
Sites, in units of the cell vectors:
Fe 0.390 0.750 0.352
Fe 0.110 0.250 0.852
Fe 0.890 0.750 0.148
Fe 0.610 0.250 0.648
Sr 0.888 0.250 0.362
Sr 0.388 0.250 0.138
Sr 0.612 0.750 0.862
Sr 0.112 0.750 0.638
Os 0.602 0.750 0.541
Os 0.102 0.750 0.959
Os 0.398 0.250 0.459
Os 0.898 0.250 0.041

Results
* V: 70.5 Å³/f.u.
* E: -0.2424 Ha/atom
* formation energy: 50.9 kJ/mol of atoms
* ΔE to the lowest computed polymorph: 244 meV/atom


Pa3Ga5: optimized geometry, PBE.

a = 4.391 Å, b = 4.277 Å, c = 8.817 Å
α = 90.00°, β = 90.00°, γ = 90.00°
Sites, in units of the cell vectors:
Pa 0.500 0.500 0.500
Pa 0.500 0.000 0.761
Pa 0.500 0.000 0.239
Ga 0.500 0.500 0.000
Ga 0.000 0.500 0.250
Ga 0.000 0.000 0.000
Ga 0.000 0.000 0.500
Ga 0.000 0.500 0.750

Results
* V: 165.6 Å³/f.u.
* E: -0.2110 Ha/atom
* formation energy: -27.8 kJ/mol of atoms
* ΔE to the lowest computed polymorph: 0 meV/atom